LiCd7Hg3: optimized geometry, PBE.

Output
- D(E_F): 3.38 states/eV/f.u.
- Energy relative to the lowest polymorph listed for this composition: 22 meV per atom
- Uncorrected energy: -0.848 eV per atom
- Formation enthalpy at 0 K: -0.10 eV per formula unit

Geometry as CIF:
```
data_LiCd7Hg3
_chemical_formula_sum 'Li4 Cd28 Hg12'
_cell_length_a 3.149
_cell_length_b 20.514
_cell_length_c 16.276
_cell_angle_alpha 90.00
_cell_angle_beta 90.00
_cell_angle_gamma 90.00
_space_group_name_H-M_alt 'C m c m'
_space_group_IT_number 63
_space_group_name_Hall '-C 2c 2'
loop_
_atom_site_label
_atom_site_fract_x
_atom_site_fract_y
_atom_site_fract_z
Li1 0.000 0.015 0.250
Cd1 0.000 0.244 0.585
Cd2 0.000 0.380 0.661
Cd3 0.000 0.389 0.250
Cd4 0.000 0.483 0.098
Hg1 0.000 0.118 0.504
Hg2 0.000 0.247 0.250
```